ThZnAsN | PBE | optimized geometry Values from VASP.

Magnetic moment, μB/f.u.: 0.000
Formation energy without anion corrections, kJ/mol of formula units: -436
Total DFT energy (no corrections), eV per atom: -6.546

```
&SYSTEM
  ibrav = 0, nat = 8, ntyp = 4
/
ATOMIC_SPECIES
Th 232.04 Th.upf
Zn 65.41 Zn.upf
As 74.92 As.upf
N 14.01 N.upf
ATOMIC_POSITIONS angstrom
Th 0.0000 0.0000 3.9198
Th 0.0000 0.0000 28.2855
Zn 0.0000 0.0000 9.8064
Zn 0.0000 0.0000 22.3989
As 0.0000 0.0000 12.4641
As 0.0000 0.0000 19.7412
N 0.0000 0.0000 6.2664
N 0.0000 0.0000 25.9389
CELL_PARAMETERS angstrom
2.0446 1.1805 10.7351
-2.0446 1.1805 10.7351
0.0000 -2.3609 10.7351
```